1.
VASP calculation (PBE) on a relaxed structure of Ca3MgGa.

Cell and atoms, written as POSCAR:
```
Ca3MgGa
1.0
2.686 -10.432 0.000
2.686 10.432 0.000
0.000 0.000 5.372
Ca Mg Ga
6 2 2
Direct
0.070 0.930 0.750
0.250 0.750 0.750
0.430 0.570 0.750
0.570 0.430 0.250
0.750 0.250 0.250
0.930 0.070 0.250
0.160 0.840 0.250
0.840 0.160 0.750
0.340 0.660 0.250
0.660 0.340 0.750
```

Results
relative energy among the computed polymorphs	0.000	eV/atom
space group	Cmcm, No. 63
M_tot	0.0000	μB/atom
final energy	-2.339	eV/atom


2.
VASP calculation (PBE) on a relaxed structure of CaMg4Ga2.

Cell and atoms, written as POSCAR:
```
CaMg4Ga2
1.0
8.436 0.000 0.000
0.000 8.436 0.000
0.000 0.000 4.520
Ca Mg Ga
2 8 4
Direct
0.000 0.000 0.000
0.500 0.500 0.500
0.093 0.340 0.500
0.160 0.593 0.000
0.340 0.093 0.500
0.407 0.840 0.000
0.593 0.160 0.000
0.660 0.907 0.500
0.840 0.407 0.000
0.907 0.660 0.500
0.218 0.782 0.500
0.282 0.282 0.000
0.718 0.718 0.000
0.782 0.218 0.500
```

Results
space group	P4_2/mnm, No. 136
M_tot	0.0000	μB/atom
final energy	-2.280	eV/atom


3.
VASP calculation (PBE) on a relaxed structure of CaMg2Ga2.

Cell and atoms, written as POSCAR:
```
CaMg2Ga2
1.0
8.279 0.000 0.000
0.000 8.279 0.000
0.000 0.000 3.153
Ca Mg Ga
2 4 4
Direct
0.000 0.000 0.000
0.500 0.500 0.000
0.126 0.374 0.000
0.374 0.874 0.000
0.626 0.126 0.000
0.874 0.626 0.000
0.173 0.673 0.500
0.327 0.173 0.500
0.673 0.827 0.500
0.827 0.327 0.500
```

Results
space group	P4/mbm, No. 127
M_tot	0.0000	μB/atom
final energy	-2.453	eV/atom


4.
VASP calculation (PBE) on a relaxed structure of CaMgGa4.

Cell and atoms, written as POSCAR:
```
CaMgGa4
1.0
-2.175 3.517 4.011
2.175 -3.517 4.011
2.175 3.517 -4.011
Ca Mg Ga
1 1 4
Direct
0.000 0.000 0.000
0.500 0.000 0.500
0.136 0.335 0.801
0.466 0.665 0.801
0.534 0.335 0.199
0.864 0.665 0.199
```

Results
space group	Immm, No. 71
M_tot	0.0000	μB/atom
final energy	-2.938	eV/atom